1.
Density functional theory data (PBE) for an optimized crystal structure of NpZnInGe.

calculated density	9.71	g/cm3
magnetization	3.99	μB per formula unit
formation enthalpy at 0 K	0.0862	eV per atom

Cell: 6.9453 6.9453 6.9453 Å, 90.00 90.00 90.00°
Space group F-43m (No. 216)
One atom of each set of equivalent atoms:
Np (0.0000, 0.0000, 0.0000) x4
Zn (0.2500, 0.2500, 0.7500) x4
In (0.0000, 0.0000, 0.5000) x4
Ge (0.2500, 0.2500, 0.2500) x4


2.
Density functional theory data (PBE) for an optimized crystal structure of In6GeO12.

calculated density	6.67	g/cm3
magnetization	2.15	μB per formula unit
E_form (uncorrected)	-1.370	eV per atom

Cell: 9.5382 9.5382 9.0352 Å, 90.00 90.00 120.00°
Space group R-3 (No. 148, hexagonal axes)
One atom of each set of equivalent atoms:
In (0.0450, 0.7876, 0.1512) x18
Ge (0.0000, 0.0000, 0.5000) x3
O (0.0283, 0.8059, 0.8989) x18
O (0.0357, 0.8475, 0.3892) x18


Question: Which value of magnetization does entry 2 give?
Answer: 2.15 μB per formula unit


Question: Which value of calculated density does entry 2 give?
Answer: 6.67 g/cm3